No. 1
DFT (PBE) results for crystalline GeTe2Pb at its relaxed geometry.

Properties
* M_tot: 0.00 μB per cell
* final energy: -3.659 eV/atom
* energy above the most stable polymorph in this dataset: 216 meV/atom
* SG: I-42d (122)
* uncorrected formation energy: -0.01 eV per atom

Structure (POSCAR):
```
GeTe2Pb
1.0
-3.512 3.512 7.042
3.512 -3.512 7.042
3.512 3.512 -7.042
Ge Te Pb
2 4 2
direct
0.000 0.000 0.000 Ge
0.750 0.250 0.500 Ge
0.091 0.625 0.966 Te
0.375 0.341 0.466 Te
0.659 0.125 0.034 Te
0.875 0.909 0.534 Te
0.250 0.750 0.500 Pb
0.500 0.500 0.000 Pb
```

=====

No. 2
DFT (PBE) results for crystalline Ge3TePb at its relaxed geometry.

Properties
* M_tot: 0.00 μB per cell
* final energy: -3.364 eV/atom
* energy above the most stable polymorph in this dataset: 0 meV/atom
* SG: Pm-3m (221)
* uncorrected formation energy: 0.78 eV per atom

Structure (POSCAR):
```
Ge3TePb
1.0
5.440 0.000 0.000
0.000 5.440 0.000
0.000 0.000 5.440
Ge Te Pb
3 1 1
direct
0.000 0.000 0.500 Ge
0.000 0.500 0.000 Ge
0.500 0.000 0.000 Ge
0.000 0.000 0.000 Te
0.500 0.500 0.500 Pb
```

=====

No. 3
DFT (PBE) results for crystalline GeTe2Pb at its relaxed geometry.

Properties
* M_tot: 0.00 μB per cell
* final energy: -3.825 eV/atom
* energy above the most stable polymorph in this dataset: 50 meV/atom
* SG: P4/mmm (123)
* uncorrected formation energy: -0.17 eV per atom

Structure (POSCAR):
```
GeTe2Pb
1.0
4.469 0.000 0.000
0.000 4.469 0.000
0.000 0.000 6.322
Ge Te Pb
1 2 1
direct
0.000 0.000 0.000 Ge
0.000 0.000 0.500 Te
0.500 0.500 0.000 Te
0.500 0.500 0.500 Pb
```

=====

No. 4
DFT (PBE) results for crystalline Ge2TePb2 at its relaxed geometry.

Properties
* M_tot: 0.00 μB per cell
* final energy: -3.903 eV/atom
* energy above the most stable polymorph in this dataset: 0 meV/atom
* SG: I4/mmm (139)
* uncorrected formation energy: 0.06 eV per atom

Structure (POSCAR):
```
Ge2TePb2
1.0
-1.986 1.986 8.815
1.986 -1.986 8.815
1.986 1.986 -8.815
Ge Te Pb
2 1 2
direct
0.250 0.750 0.500 Ge
0.750 0.250 0.500 Ge
0.000 0.000 0.000 Te
0.393 0.393 0.000 Pb
0.607 0.607 0.000 Pb
```

=====

No. 5
DFT (PBE) results for crystalline Ge2TePb2 at its relaxed geometry.

Properties
* M_tot: 0.00 μB per cell
* final energy: -3.802 eV/atom
* energy above the most stable polymorph in this dataset: 100 meV/atom
* SG: P4/mbm (127)
* uncorrected formation energy: 0.16 eV per atom

Structure (POSCAR):
```
Ge2TePb2
1.0
7.977 0.000 0.000
0.000 7.977 0.000
0.000 0.000 4.300
Ge Te Pb
4 2 4
direct
0.116 0.384 0.000 Ge
0.384 0.884 0.000 Ge
0.616 0.116 0.000 Ge
0.884 0.616 0.000 Ge
0.000 0.000 0.000 Te
0.500 0.500 0.000 Te
0.184 0.684 0.500 Pb
0.316 0.184 0.500 Pb
0.684 0.816 0.500 Pb
0.816 0.316 0.500 Pb
```

=====

No. 6
DFT (PBE) results for crystalline GeTe5Pb4 at its relaxed geometry.

Properties
* M_tot: 0.00 μB per cell
* final energy: -3.844 eV/atom
* SG: R-3m (166)
* uncorrected formation energy: -0.33 eV per atom

Structure (POSCAR):
```
GeTe5Pb4
1.0
2.273 1.312 18.749
-2.273 1.312 18.749
0.000 -2.625 18.749
Ge Te Pb
1 5 4
direct
0.000 0.000 0.000 Ge
0.098 0.098 0.098 Te
0.305 0.305 0.305 Te
0.500 0.500 0.500 Te
0.695 0.695 0.695 Te
0.902 0.902 0.902 Te
0.201 0.201 0.201 Pb
0.397 0.397 0.397 Pb
0.603 0.603 0.603 Pb
0.799 0.799 0.799 Pb
```

=====

No. 7
DFT (PBE) results for crystalline Ge2Te2Pb at its relaxed geometry.

Properties
* M_tot: 0.00 μB per cell
* final energy: -3.786 eV/atom
* energy above the most stable polymorph in this dataset: 0 meV/atom
* SG: I4/mmm (139)
* uncorrected formation energy: 0.06 eV per atom

Structure (POSCAR):
```
Ge2Te2Pb
1.0
-2.870 2.870 4.401
2.870 -2.870 4.401
2.870 2.870 -4.401
Ge Te Pb
2 2 1
direct
0.152 0.152 0.000 Ge
0.848 0.848 0.000 Ge
0.250 0.750 0.500 Te
0.750 0.250 0.500 Te
0.500 0.500 0.000 Pb
```

=====

No. 8
DFT (PBE) results for crystalline Ge2TePb at its relaxed geometry.

Properties
* M_tot: 0.00 μB per cell
* final energy: -3.700 eV/atom
* energy above the most stable polymorph in this dataset: 21 meV/atom
* SG: I-42d (122)
* uncorrected formation energy: 0.32 eV per atom

Structure (POSCAR):
```
Ge2TePb
1.0
-3.130 3.130 7.182
3.130 -3.130 7.182
3.130 3.130 -7.182
Ge Te Pb
4 2 2
direct
0.124 0.625 0.999 Ge
0.375 0.374 0.499 Ge
0.626 0.125 0.001 Ge
0.875 0.876 0.501 Ge
0.000 0.000 0.000 Te
0.750 0.250 0.500 Te
0.250 0.750 0.500 Pb
0.500 0.500 0.000 Pb
```

=====

No. 9
DFT (PBE) results for crystalline GeTe3Pb2 at its relaxed geometry.

Properties
* M_tot: 0.00 μB per cell
* final energy: -3.845 eV/atom
* SG: Immm (71)
* uncorrected formation energy: -0.27 eV per atom

Structure (POSCAR):
```
GeTe3Pb2
1.0
-2.242 3.198 6.807
2.242 -3.198 6.807
2.242 3.198 -6.807
Ge Te Pb
1 3 2
direct
0.000 0.000 0.000 Ge
0.150 0.650 0.500 Te
0.500 0.000 0.500 Te
0.850 0.350 0.500 Te
0.329 0.329 0.000 Pb
0.671 0.671 0.000 Pb
```

=====

No. 10
DFT (PBE) results for crystalline GeTe2Pb2 at its relaxed geometry.

Properties
* M_tot: 0.00 μB per cell
* final energy: -3.642 eV/atom
* energy above the most stable polymorph in this dataset: 0 meV/atom
* SG: P4/mbm (127)
* uncorrected formation energy: 0.02 eV per atom

Structure (POSCAR):
```
GeTe2Pb2
1.0
8.319 0.000 0.000
0.000 8.319 0.000
0.000 0.000 4.553
Ge Te Pb
2 4 4
direct
0.000 0.000 0.000 Ge
0.500 0.500 0.000 Ge
0.164 0.336 0.000 Te
0.336 0.836 0.000 Te
0.664 0.164 0.000 Te
0.836 0.664 0.000 Te
0.152 0.652 0.500 Pb
0.348 0.152 0.500 Pb
0.652 0.848 0.500 Pb
0.848 0.348 0.500 Pb
```

=====

No. 11
DFT (PBE) results for crystalline GeTe2Pb at its relaxed geometry.

Properties
* M_tot: 0.00 μB per cell
* final energy: -3.574 eV/atom
* energy above the most stable polymorph in this dataset: 301 meV/atom
* SG: Fm-3m (225)
* uncorrected formation energy: 0.08 eV per atom

Structure (POSCAR):
```
GeTe2Pb
1.0
0.000 3.845 3.845
3.845 0.000 3.845
3.845 3.845 0.000
Ge Te Pb
1 2 1
direct
0.000 0.000 0.000 Ge
0.250 0.250 0.250 Te
0.750 0.750 0.750 Te
0.500 0.500 0.500 Pb
```

=====

No. 12
DFT (PBE) results for crystalline GeTe2Pb at its relaxed geometry.

Properties
* M_tot: 0.00 μB per cell
* final energy: -3.607 eV/atom
* energy above the most stable polymorph in this dataset: 268 meV/atom
* SG: R-3m (166)
* uncorrected formation energy: 0.05 eV per atom

Structure (POSCAR):
```
GeTe2Pb
1.0
1.945 1.123 9.858
-1.945 1.123 9.858
0.000 -2.246 9.858
Ge Te Pb
1 2 1
direct
0.000 0.000 0.000 Ge
0.393 0.393 0.393 Te
0.607 0.607 0.607 Te
0.500 0.500 0.500 Pb
```